# NiGeNF2 PBE+U optimized geometry
# density of states at the Fermi level: 0.65 states/eV/f.u.
# total DFT energy (no corrections): -21.49 eV for the cell shown
# volume: 58.36 Å³ per cell
data_NiGeNF2
_chemical_formula_sum 'Ni1 Ge1 N1 F2'
_symmetry_space_group_name_H-M 'P 4/m m m'
_symmetry_Int_Tables_number 123
_symmetry_space_group_name_Hall '-P 4 2'
_cell_length_a 4.077
_cell_length_b 4.077
_cell_length_c 3.511
_cell_angle_alpha 90.00
_cell_angle_beta 90.00
_cell_angle_gamma 90.00
loop_
_atom_site_label
_atom_site_type_symbol
_atom_site_fract_x
_atom_site_fract_y
_atom_site_fract_z
Ni1 Ni 0.000 0.000 0.000
Ge1 Ge 0.500 0.500 0.500
N1 N 0.500 0.500 0.000
F1 F 0.000 0.500 0.500